a.
# K2LiCr

A crystal of K2LiCr relaxed with PBEsol (SCAN, the Alexandria database).

Properties
Space-group type   I4/mmm (139)
Spin magnetization   5.3 μB/cell

Structure (extended XYZ):
```
4
Lattice="-2.808 2.808 4.859 2.808 -2.808 4.859 2.808 2.808 -4.859" Properties=species:S:1:pos:R:3 pbc="T T T"
K 2.808 0.000 2.430
K 0.000 2.808 2.430
Li 0.000 0.000 0.000
Cr 0.000 0.000 4.859
```


b.
# K2LiCr

A crystal of K2LiCr relaxed with PBEsol (SCAN, the Alexandria database).

Properties
Space-group type   Imm2 (44)
Spin magnetization   5.2 μB/cell

Structure (extended XYZ):
```
4
Lattice="-1.803 3.178 6.518 1.803 -3.178 6.518 1.803 3.178 -6.518" Properties=species:S:1:pos:R:3 pbc="T T T"
K 0.000 0.000 0.000
K 0.000 3.178 2.657
Li 1.803 0.000 3.676
Cr 0.000 0.000 5.866
```


The calculated energies rank the structures as follows, beginning with the most stable: b, a.


a.
# KCrN2

A crystal of KCrN2 relaxed with PBEsol (SCAN, the Alexandria database).

Properties
Space-group type   I-42d (122)
Spin magnetization   0.0 μB/cell

Structure (extended XYZ):
```
8
Lattice="-2.781 2.781 4.007 2.781 -2.781 4.007 2.781 2.781 -4.007" Properties=species:S:1:pos:R:3 pbc="T T T"
K 0.000 0.000 0.000
K 0.000 2.781 2.004
Cr 2.781 0.000 2.004
Cr 0.000 0.000 4.007
N 1.390 2.465 -1.002
N 3.096 1.390 1.002
N 1.390 0.315 3.005
N -0.315 1.390 5.009
```


b.
# KCrN2

A crystal of KCrN2 relaxed with PBEsol (SCAN, the Alexandria database).

Properties
Space-group type   Pbca (61)
Spin magnetization   0.0 μB/cell

Structure (extended XYZ):
```
64
Lattice="5.649 0.000 0.000 0.000 11.341 0.000 0.000 0.000 15.377" Properties=species:S:1:pos:R:3 pbc="T T T"
K 0.766 2.831 2.984
K 0.766 2.840 10.672
K 1.409 11.341 1.034
K 1.409 5.670 8.723
K 1.416 0.000 8.723
K 1.416 5.670 1.034
K 2.058 8.501 2.984
K 2.058 8.510 10.672
K 3.590 2.831 4.705
K 3.590 2.840 12.394
K 4.233 11.341 6.655
K 4.233 5.670 14.343
K 4.240 0.000 14.343
K 4.240 5.670 6.655
K 4.882 8.501 4.705
K 4.882 8.510 12.394
Cr 1.006 2.831 6.811
Cr 1.006 2.839 14.499
Cr 1.407 11.337 4.857
Cr 1.407 5.674 12.545
Cr 1.417 0.004 12.545
Cr 1.417 5.666 4.857
Cr 1.818 8.501 6.811
Cr 1.818 8.510 14.499
Cr 3.830 2.831 0.878
Cr 3.830 2.839 8.567
Cr 4.232 11.337 2.832
Cr 4.232 5.674 10.521
Cr 4.241 0.004 10.521
Cr 4.241 5.666 2.832
Cr 4.642 8.501 0.878
Cr 4.642 8.510 8.567
N 0.011 0.000 11.525
N 0.011 5.670 3.836
N 0.723 8.503 0.487
N 0.723 8.509 8.175
N 1.351 1.425 13.547
N 1.351 4.246 5.858
N 1.354 1.408 5.871
N 1.354 4.262 13.560
N 1.470 7.079 5.871
N 1.470 9.932 13.560
N 1.473 7.095 13.547
N 1.473 9.916 5.858
N 2.101 2.832 0.487
N 2.101 2.838 8.175
N 2.814 11.341 3.836
N 2.814 5.671 11.525
N 2.835 0.000 11.541
N 2.835 5.670 3.852
N 3.547 8.503 7.202
N 3.547 8.509 14.891
N 4.176 1.425 9.519
N 4.176 4.246 1.830
N 4.178 1.408 1.818
N 4.178 4.262 9.507
N 4.294 7.079 1.818
N 4.294 9.932 9.507
N 4.297 7.095 9.519
N 4.297 9.916 1.830
N 4.926 2.832 7.202
N 4.926 2.838 14.891
N 5.638 11.341 3.852
N 5.638 5.671 11.541
```


The calculated energies rank the structures as follows, beginning with the most stable: b, a.


a.
# KCr2Ni

A crystal of KCr2Ni relaxed with PBEsol (SCAN, the Alexandria database).

Properties
Space-group type   P4/mmm (123)
Spin magnetization   9.4 μB/cell

Structure (extended XYZ):
```
4
Lattice="4.848 0.000 0.000 0.000 4.848 0.000 0.000 0.000 3.020" Properties=species:S:1:pos:R:3 pbc="T T T"
K 0.000 0.000 0.000
Cr 0.000 2.424 1.510
Cr 2.424 0.000 1.510
Ni 2.424 2.424 0.000
```


b.
# KCr2Ni

A crystal of KCr2Ni relaxed with PBEsol (SCAN, the Alexandria database).

Properties
Space-group type   F-43m (216)
Spin magnetization   0.2 μB/cell

Structure (extended XYZ):
```
4
Lattice="0.000 3.234 3.234 3.234 0.000 3.234 3.234 3.234 0.000" Properties=species:S:1:pos:R:3 pbc="T T T"
K 0.000 0.000 0.000
Cr 3.234 3.234 3.234
Cr 4.851 4.851 4.851
Ni 1.617 1.617 1.617
```


The calculated energies rank the structures as follows, beginning with the most stable: b, a.


a.
# KCr2Os

A crystal of KCr2Os relaxed with PBEsol (SCAN, the Alexandria database).

Properties
Space-group type   Pm (6)
Spin magnetization   1.6 μB/cell

Structure (extended XYZ):
```
4
Lattice="2.770 0.000 0.000 0.000 3.383 0.000 -0.006 0.000 8.002" Properties=species:S:1:pos:R:3 pbc="T T T"
K 0.000 0.000 0.000
Cr 0.010 0.000 3.900
Cr 1.392 1.691 5.107
Os 1.394 1.691 2.707
```


b.
# KCr2Os

A crystal of KCr2Os relaxed with PBEsol (SCAN, the Alexandria database).

Properties
Space-group type   F-43m (216)
Spin magnetization   1.5 μB/cell

Structure (extended XYZ):
```
4
Lattice="0.000 3.170 3.170 3.170 0.000 3.170 3.170 3.170 0.000" Properties=species:S:1:pos:R:3 pbc="T T T"
K 0.000 0.000 0.000
Cr 3.170 3.170 3.170
Cr 4.755 4.755 4.755
Os 1.585 1.585 1.585
```


The calculated energies rank the structures as follows, beginning with the most stable: a, b.


a.
# KCrP2

A crystal of KCrP2 relaxed with PBEsol (SCAN, the Alexandria database).

Properties
Space-group type   P4/mmm (123)
Spin magnetization   3.9 μB/cell

Structure (extended XYZ):
```
4
Lattice="4.223 0.000 0.000 0.000 4.223 0.000 0.000 0.000 4.066" Properties=species:S:1:pos:R:3 pbc="T T T"
K 0.000 0.000 0.000
Cr 2.111 2.111 0.000
P 0.000 2.111 2.033
P 2.111 0.000 2.033
```


b.
# KCrP2

A crystal of KCrP2 relaxed with PBEsol (SCAN, the Alexandria database).

Properties
Space-group type   I4/mmm (139)
Spin magnetization   3.1 μB/cell

Structure (extended XYZ):
```
4
Lattice="-2.230 2.230 3.494 2.230 -2.230 3.494 2.230 2.230 -3.494" Properties=species:S:1:pos:R:3 pbc="T T T"
K 0.000 0.000 0.000
Cr 0.000 0.000 3.494
P 2.230 0.000 1.747
P 0.000 2.230 1.747
```


The calculated energies rank the structures as follows, beginning with the most stable: b, a.


a.
# KCr2Pt

A crystal of KCr2Pt relaxed with PBEsol (SCAN, the Alexandria database).

Properties
Space-group type   P4mm (99)
Spin magnetization   0.9 μB/cell

Structure (extended XYZ):
```
4
Lattice="2.932 0.000 0.000 0.000 2.932 0.000 0.000 0.000 8.280" Properties=species:S:1:pos:R:3 pbc="T T T"
K 0.000 0.000 0.000
Cr 0.000 0.000 4.162
Cr 1.466 1.466 5.361
Pt 1.466 1.466 2.511
```


b.
# KCr2Pt

A crystal of KCr2Pt relaxed with PBEsol (SCAN, the Alexandria database).

Properties
Space-group type   Cm (8)
Spin magnetization   0.2 μB/cell

Structure (extended XYZ):
```
4
Lattice="4.418 -1.411 0.000 4.418 1.411 0.000 -1.127 0.000 6.842" Properties=species:S:1:pos:R:3 pbc="T T T"
K 0.000 0.000 0.000
Cr 3.849 0.000 3.402
Cr 6.664 0.000 2.763
Pt 1.233 0.000 4.592
```


The calculated energies rank the structures as follows, beginning with the most stable: a, b.